The following is a DFT calculation (PBE-GGA) of an optimized crystal structure of Tl2SnS. Values from VASP.

Cell and atoms, written as Quantum ESPRESSO input:
```
&SYSTEM
  ibrav = 0, nat = 8, ntyp = 3
/
ATOMIC_SPECIES
S 32.06 S.upf
Tl 204.38 Tl.upf
Sn 118.71 Sn.upf
ATOMIC_POSITIONS crystal
S 0.250 0.750 0.500
S 0.500 0.500 0.000
Tl 0.375 0.391 0.750
Tl 0.609 0.125 0.250
Tl 0.875 0.859 0.750
Tl 0.141 0.625 0.250
Sn 0.750 0.250 0.500
Sn 0.000 0.000 0.000
CELL_PARAMETERS angstrom
-2.716 -3.191 5.000
-3.711 -3.375 -4.170
1.493 -7.943 -0.002
```

Values from the calculation:
* total moment: 0.0 μB/cell
* energy relative to the elements, uncorrected: 0.03 eV/atom
* energy: -3.18 eV per atom
* distance to the lowest polymorph of the same formula: 0.056 eV/atom